No. 1
Computed, not measured: Li2CaTc after structural relaxation at the PBE level of DFT.

Cell: 4.0579 4.0579 20.6596 Å, 90.00 90.00 90.00°
Closest atoms and distances in Å follow each position.
Space group I-42d (No. 122)
Symmetry-distinct sites (fractional):
Li 0.2021 0.7500 0.1250  2 Li 2.61, 2 Tc 2.89
Ca 0.0000 0.0000 0.5000  4 Tc 2.87, 4 Li 3.03
Tc 0.0000 0.0000 0.0000  4 Ca 2.87, 4 Li 2.89

Calculated values
Energy above the most stable polymorph in this dataset = 7.70 kcal/mol of atoms
DFT formation energy = 0.763 eV/atom
Magnetization = 1.54 μB/f.u.

No. 2
Computed, not measured: Li3CaTc after structural relaxation at the PBE level of DFT.

Cell: 4.8785 4.8785 4.8785 Å, 90.00 90.00 90.00°
Closest atoms and distances in Å follow each position.
Space group Pm-3m (No. 221)
Symmetry-distinct sites (fractional):
Li 0.0000 0.0000 0.5000  2 Tc 2.44
Ca 0.5000 0.5000 0.5000  12 Li 3.45
Tc 0.0000 0.0000 0.0000  6 Li 2.44

Calculated values
Energy above the most stable polymorph in this dataset = 0.00 kcal/mol of atoms
DFT formation energy = 0.772 eV/atom
Magnetization = 1.96 μB/f.u.